[1]
! Ir2Pt GGA-PBE optimized geometry; values from VASP
! Energy of formation ... 0.12 eV/f.u.
! Energy above the most stable polymorph in this dataset ... 0.0103 eV/atom
&SYSTEM
  ibrav = 0, nat = 3, ntyp = 2
/
ATOMIC_SPECIES
Ir 192.22 Ir.upf
Pt 195.08 Pt.upf
CELL_PARAMETERS angstrom
6.2020 -0.0010 0.0000
4.9758 3.7022 0.0000
-5.5889 -1.8506 1.9505
ATOMIC_POSITIONS crystal
Ir 0.0054 0.0054 0.0000
Ir 0.6613 0.6613 0.0000
Pt 0.3333 0.3333 0.0000

***

[2]
! Ir3Pt GGA-PBE optimized geometry; values from VASP
! Energy of formation ... 0.42 eV/f.u.
&SYSTEM
  ibrav = 0, nat = 4, ntyp = 2
/
ATOMIC_SPECIES
Ir 192.22 Ir.upf
Pt 195.08 Pt.upf
CELL_PARAMETERS angstrom
2.7535 0.0000 0.0000
-1.3767 2.3846 0.0000
0.0000 0.0000 9.0711
ATOMIC_POSITIONS crystal
Ir 0.0000 0.0000 0.0062
Ir 0.0000 0.0000 0.4938
Ir 0.3333 0.6667 0.2500
Pt 0.3333 0.6667 0.7500

***

[3]
! Ir2Pt GGA-PBE optimized geometry; values from VASP
! Energy of formation ... 1.12 eV/f.u.
! Energy above the most stable polymorph in this dataset ... 0.3418 eV/atom
&SYSTEM
  ibrav = 0, nat = 6, ntyp = 2
/
ATOMIC_SPECIES
Ir 192.22 Ir.upf
Pt 195.08 Pt.upf
CELL_PARAMETERS angstrom
-1.8553 3.8071 1.3038
-0.3069 -1.2793 -4.2315
-4.5868 -2.6205 1.1249
ATOMIC_POSITIONS crystal
Ir 0.0000 0.0000 0.0000
Ir 0.0000 0.0000 0.5000
Ir 0.3333 0.6667 0.2500
Ir 0.6667 0.3333 0.7500
Pt 0.3333 0.6667 0.7500
Pt 0.6667 0.3333 0.2500

***

[4]
! IrPt GGA-PBE optimized geometry; values from VASP
! Energy of formation ... 2.32 eV/f.u.
&SYSTEM
  ibrav = 0, nat = 12, ntyp = 2
/
ATOMIC_SPECIES
Ir 192.22 Ir.upf
Pt 195.08 Pt.upf
CELL_PARAMETERS angstrom
10.0272 0.0000 0.0000
-5.0136 8.6838 0.0000
0.0000 0.0000 3.7936
ATOMIC_POSITIONS crystal
Ir 0.6669 0.0905 0.2500
Ir 0.5765 0.6669 0.7500
Ir 0.9095 0.5765 0.2500
Ir 0.3331 0.9095 0.7500
Ir 0.4235 0.3331 0.2500
Ir 0.0905 0.4235 0.7500
Pt 0.9086 0.3297 0.2500
Pt 0.5789 0.9086 0.7500
Pt 0.6703 0.5789 0.2500
Pt 0.0914 0.6703 0.7500
Pt 0.4211 0.0914 0.2500
Pt 0.3297 0.4211 0.7500

***

[5]
! Ir3Pt GGA-PBE optimized geometry; values from VASP
! Energy of formation ... 2.19 eV/f.u.
&SYSTEM
  ibrav = 0, nat = 8, ntyp = 2
/
ATOMIC_SPECIES
Ir 192.22 Ir.upf
Pt 195.08 Pt.upf
CELL_PARAMETERS angstrom
4.9785 0.0000 0.0000
0.0000 4.9785 0.0000
0.0000 0.0000 4.9785
ATOMIC_POSITIONS crystal
Ir 0.0000 0.2500 0.5000
Ir 0.0000 0.7500 0.5000
Ir 0.2500 0.5000 0.0000
Ir 0.5000 0.0000 0.2500
Ir 0.5000 0.0000 0.7500
Ir 0.7500 0.5000 0.0000
Pt 0.0000 0.0000 0.0000
Pt 0.5000 0.5000 0.5000

***

[6]
! IrPt GGA-PBE optimized geometry; values from VASP
! Energy of formation ... 0.02 eV/f.u.
&SYSTEM
  ibrav = 0, nat = 4, ntyp = 2
/
ATOMIC_SPECIES
Ir 192.22 Ir.upf
Pt 195.08 Pt.upf
CELL_PARAMETERS angstrom
-2.0917 -1.6058 0.8208
1.0208 -0.0181 2.5662
-4.2683 6.4511 1.7433
ATOMIC_POSITIONS crystal
Ir 0.2500 0.2500 0.1154
Ir 0.7500 0.7500 0.8846
Pt 0.2500 0.2500 0.6331
Pt 0.7500 0.7500 0.3669

***

[7]
! Ir2Pt GGA-PBE optimized geometry; values from VASP
! Energy of formation ... 0.42 eV/f.u.
! Energy above the most stable polymorph in this dataset ... 0.1093 eV/atom
&SYSTEM
  ibrav = 0, nat = 6, ntyp = 2
/
ATOMIC_SPECIES
Ir 192.22 Ir.upf
Pt 195.08 Pt.upf
CELL_PARAMETERS angstrom
1.3786 5.1406 0.0000
-1.3786 5.1406 0.0000
0.0000 1.7819 6.3435
ATOMIC_POSITIONS crystal
Ir 0.0053 0.0053 0.0045
Ir 0.6102 0.6102 0.2784
Ir 0.3297 0.3297 0.3311
Ir 0.6647 0.6647 0.6648
Pt 0.9449 0.9449 0.6071
Pt 0.2786 0.2786 0.9473

***

[8]
! IrPt7 GGA-PBE optimized geometry; values from VASP
! Energy of formation ... 0.33 eV/f.u.
&SYSTEM
  ibrav = 0, nat = 8, ntyp = 2
/
ATOMIC_SPECIES
Ir 192.22 Ir.upf
Pt 195.08 Pt.upf
CELL_PARAMETERS angstrom
5.6022 0.0000 0.0000
2.8011 4.8517 0.0000
2.8011 1.6172 4.5742
ATOMIC_POSITIONS crystal
Ir 0.0000 0.0000 0.0000
Pt 0.0000 0.0000 0.5000
Pt 0.0000 0.5000 0.0000
Pt 0.0000 0.5000 0.5000
Pt 0.5000 0.0000 0.0000
Pt 0.5000 0.0000 0.5000
Pt 0.5000 0.5000 0.0000
Pt 0.5000 0.5000 0.5000